No. 1
VASP calculation (GGA-PBE) on crystalline ZrCr2N at its relaxed geometry.

Lattice parameters (Å, degrees): 5.7617 5.7617 7.5712 90.00 90.00 90.00
Space group I-42d (No. 122)
Symmetry-distinct sites (fractional):
Zr 0.0000 0.0000 0.0000
Cr 0.0980 0.2500 0.6250
N 0.0000 0.0000 0.5000

Computed properties:
E_tot = -8.935 eV/atom
ΔE_f (raw) = 36.7 kJ/mol of formula units
M_tot = 0.79 μB per atom


No. 2
VASP calculation (GGA-PBE) on crystalline NaCr4 at its relaxed geometry.

Lattice parameters (Å, degrees): 4.8305 4.8305 4.8305 90.00 90.00 90.00
Space group Pm-3m (No. 221)
Symmetry-distinct sites (fractional):
Na 0.0000 0.0000 0.0000
Cr 0.0000 0.0000 0.5000
Cr 0.5000 0.5000 0.5000

Computed properties:
E_tot = -5.921 eV/atom
M_tot = 1.86 μB per atom


No. 3
VASP calculation (GGA-PBE) on crystalline Na3Cr at its relaxed geometry.

Lattice parameters (Å, degrees): 4.9570 4.9570 9.6594 90.00 90.00 90.00
Space group I4/mmm (No. 139)
Symmetry-distinct sites (fractional):
Na 0.0000 0.0000 0.0000
Na 0.0000 0.5000 0.2500
Cr 0.0000 0.0000 0.5000

Computed properties:
E_tot = -2.844 eV/atom
M_tot = 1.25 μB per atom


Look up the E_tot of the second one.
-5.921 eV/atom


The lowest M_tot belongs to which entry?
ZrCr2N